No. 1
Compound: Li2CuHgO4
Source: Alexandria via LeMat-Bulk
Functional: PBE
Structure: relaxed

Unit cell a=5.261 b=5.502 c=6.580 alpha=90.00 beta=90.00 gamma=90.00
Space group I222 (No. 23)
One atom of each set of equivalent atoms:
1 Li 0.000 0.000 0.248 x4
2 Cu 0.000 0.500 0.500 x2
3 Hg 0.000 0.500 0.000 x2
4 O 0.160 0.317 0.306 x8

Properties
Its magnetization is 2.0 μB per cell. For the density of states at the Fermi level, the calculation gives 3.99 states/eV/f.u. The uncorrected formation energy comes out at -0.71 eV/atom.


No. 2
Compound: Li2CuHgP
Source: Alexandria via LeMat-Bulk
Functional: PBE
Structure: relaxed

Unit cell a=4.869 b=4.869 c=4.324 alpha=90.00 beta=90.00 gamma=90.00
Space group P4/mmm (No. 123)
One atom of each set of equivalent atoms:
1 Li 0.000 0.500 0.000 x2
2 Cu 0.000 0.000 0.500 x1
3 Hg 0.500 0.500 0.500 x1
4 P 0.000 0.000 0.000 x1

Properties
Its magnetization is 0.0 μB per cell. As for the formation energy: -0.29 eV/atom. For the density of states at the Fermi level, the calculation gives 1.76 states/eV/f.u.


No. 3
Compound: Li2Cu2HgPd5
Source: Alexandria via LeMat-Bulk
Functional: PBE
Structure: relaxed

Unit cell a=8.891 b=8.891 c=4.097 alpha=90.00 beta=90.00 gamma=90.00
Space group P4/mbm (No. 127)
One atom of each set of equivalent atoms:
1 Li 0.173 0.327 0.000 x4
2 Cu 0.121 0.621 0.000 x4
3 Hg 0.000 0.000 0.000 x2
4 Pd 0.000 0.500 0.500 x2
5 Pd 0.079 0.795 0.500 x8

Properties
Its magnetization is 0.0 μB per cell. As for the formation energy: -0.18 eV/atom. For the density of states at the Fermi level, the calculation gives 4.03 states/eV/f.u.


No. 4
Compound: LiPmCuHg
Source: Alexandria via LeMat-Bulk
Functional: PBE
Structure: relaxed

Unit cell a=6.795 b=6.795 c=6.795 alpha=90.00 beta=90.00 gamma=90.00
Space group F-43m (No. 216)
One atom of each set of equivalent atoms:
1 Li 0.000 0.000 0.000 x4
2 Pm 0.250 0.250 0.250 x4
3 Cu 0.000 0.000 0.500 x4
4 Hg 0.250 0.250 0.750 x4

Properties
Its magnetization is 0.0 μB per cell. As for the formation energy: -0.22 eV/atom. For the density of states at the Fermi level, the calculation gives 5.48 states/eV/f.u.


No. 5
Compound: LiPrCuHg
Source: Alexandria via LeMat-Bulk
Functional: PBE
Structure: relaxed

Unit cell a=7.095 b=7.095 c=7.095 alpha=90.00 beta=90.00 gamma=90.00
Space group F-43m (No. 216)
One atom of each set of equivalent atoms:
1 Li 0.000 0.000 0.000 x4
2 Pr 0.000 0.000 0.500 x4
3 Cu 0.250 0.250 0.250 x4
4 Hg 0.250 0.250 0.750 x4

Properties
Its magnetization is 0.0 μB per cell. As for the formation energy: -0.21 eV/atom. For the density of states at the Fermi level, the calculation gives 3.47 states/eV/f.u.


No. 6
Compound: LiCuHgPt
Source: Alexandria via LeMat-Bulk
Functional: PBE
Structure: relaxed

Unit cell a=6.229 b=6.229 c=6.229 alpha=90.00 beta=90.00 gamma=90.00
Space group F-43m (No. 216)
One atom of each set of equivalent atoms:
1 Li 0.000 0.000 0.000 x4
2 Cu 0.000 0.000 0.500 x4
3 Hg 0.250 0.250 0.250 x4
4 Pt 0.250 0.250 0.750 x4

Properties
Its magnetization is 0.0 μB per cell. As for the formation energy: -0.24 eV/atom. For the density of states at the Fermi level, the calculation gives 0.90 states/eV/f.u.


No. 7
Compound: RbLi2CuHg
Source: Alexandria via LeMat-Bulk
Functional: PBE
Structure: relaxed

Unit cell a=6.250 b=6.250 c=6.462 alpha=90.00 beta=90.00 gamma=90.00
Space group P4/mmm (No. 123)
One atom of each set of equivalent atoms:
1 Rb 0.000 0.000 0.000 x1
2 Li 0.000 0.500 0.000 x2
3 Cu 0.500 0.500 0.500 x1
4 Hg 0.000 0.000 0.500 x1

Properties
Its magnetization is 0.0 μB per cell. As for the formation energy: 0.99 eV/atom. For the density of states at the Fermi level, the calculation gives 1.86 states/eV/f.u.


No. 8
Compound: LiCuHg2Ru
Source: Alexandria via LeMat-Bulk
Functional: PBE
Structure: relaxed

Unit cell a=5.193 b=5.193 c=4.698 alpha=90.00 beta=90.00 gamma=90.00
Space group P4/mmm (No. 123)
One atom of each set of equivalent atoms:
1 Li 0.000 0.000 0.000 x1
2 Cu 0.500 0.500 0.000 x1
3 Hg 0.000 0.500 0.500 x2
4 Ru 0.000 0.000 0.500 x1

Properties
Its magnetization is 1.1 μB per cell. As for the formation energy: 0.93 eV/atom. For the density of states at the Fermi level, the calculation gives 4.09 states/eV/f.u.


No. 9
Compound: LiCu2SiHg
Source: Alexandria via LeMat-Bulk
Functional: PBE
Structure: relaxed

Unit cell a=4.930 b=4.930 c=4.871 alpha=90.00 beta=90.00 gamma=90.00
Space group P4/mmm (No. 123)
One atom of each set of equivalent atoms:
1 Li 0.000 0.000 0.000 x1
2 Cu 0.000 0.500 0.500 x2
3 Si 0.500 0.500 0.000 x1
4 Hg 0.500 0.500 0.500 x1

Properties
Its magnetization is 0.0 μB per cell. For the density of states at the Fermi level, the calculation gives 1.75 states/eV/f.u. The uncorrected formation energy comes out at 0.75 eV/atom.


No. 10
Compound: Sr2LiCuHg
Source: Alexandria via LeMat-Bulk
Functional: PBE
Structure: relaxed

Unit cell a=5.891 b=5.891 c=4.715 alpha=90.00 beta=90.00 gamma=90.00
Space group P4/mmm (No. 123)
One atom of each set of equivalent atoms:
1 Sr 0.000 0.500 0.000 x2
2 Li 0.000 0.000 0.500 x1
3 Cu 0.000 0.000 0.000 x1
4 Hg 0.500 0.500 0.500 x1

Properties
Its magnetization is 0.0 μB per cell. As for the formation energy: -0.09 eV/atom. For the density of states at the Fermi level, the calculation gives 2.17 states/eV/f.u.


No. 11
Compound: SrLi2CuHg
Source: Alexandria via LeMat-Bulk
Functional: PBE
Structure: relaxed

Unit cell a=4.890 b=4.890 c=5.105 alpha=90.00 beta=90.00 gamma=90.00
Space group P4/mmm (No. 123)
One atom of each set of equivalent atoms:
1 Sr 0.000 0.000 0.000 x1
2 Li 0.000 0.500 0.500 x2
3 Cu 0.500 0.500 0.500 x1
4 Hg 0.500 0.500 0.000 x1

Properties
Its magnetization is 0.0 μB per cell. As for the formation energy: -0.09 eV/atom. For the density of states at the Fermi level, the calculation gives 2.02 states/eV/f.u.


No. 12
Compound: LiTaCu2Hg
Source: Alexandria via LeMat-Bulk
Functional: PBE
Structure: relaxed

Unit cell a=4.811 b=4.811 c=5.238 alpha=90.00 beta=90.00 gamma=90.00
Space group P4/mmm (No. 123)
One atom of each set of equivalent atoms:
1 Li 0.000 0.000 0.000 x1
2 Ta 0.000 0.000 0.500 x1
3 Cu 0.000 0.500 0.500 x2
4 Hg 0.500 0.500 0.000 x1

Properties
Its magnetization is 1.4 μB per cell. As for the formation energy: 1.34 eV/atom. For the density of states at the Fermi level, the calculation gives 3.97 states/eV/f.u.


Question: Look up the magnetization of the fifth one.
Answer: 0.0 μB per cell